Entry 1:
# CrIr

A relaxed structure of CrIr (PBE, Alexandria).

```
data_CrIr
_cell_length_a 4.665
_cell_length_b 4.225
_cell_length_c 5.330
_cell_angle_alpha 90.00
_cell_angle_beta 90.00
_cell_angle_gamma 90.00
_space_group_name_H-M_alt 'P 1'
_space_group_IT_number 1
_space_group_name_Hall 'P 1'
loop_
_atom_site_label
_atom_site_type_symbol
_atom_site_fract_x
_atom_site_fract_y
_atom_site_fract_z
Cr1 Cr 0.084 0.250 0.122
Cr2 Cr 0.416 0.750 0.622
Cr3 Cr 0.584 0.250 0.378
Cr4 Cr 0.916 0.750 0.878
Ir1 Ir 0.093 0.250 0.628
Ir2 Ir 0.407 0.750 0.128
Ir3 Ir 0.593 0.250 0.872
Ir4 Ir 0.907 0.750 0.372
```

**Formation energy**: -0.396 eV per formula unit


Entry 2:
# Fe2Co3Ni3

A relaxed structure of Fe2Co3Ni3 (PBE, Alexandria).

```
data_Fe2Co3Ni3
_cell_length_a 4.484
_cell_length_b 4.484
_cell_length_c 11.840
_cell_angle_alpha 90.00
_cell_angle_beta 90.00
_cell_angle_gamma 128.89
_space_group_name_H-M_alt 'P 1'
_space_group_IT_number 1
_space_group_name_Hall 'P 1'
loop_
_atom_site_label
_atom_site_type_symbol
_atom_site_fract_x
_atom_site_fract_y
_atom_site_fract_z
Fe1 Fe 0.231 0.769 0.637
Fe2 Fe 0.231 0.769 0.863
Fe3 Fe 0.769 0.231 0.137
Fe4 Fe 0.769 0.231 0.363
Co1 Co 0.371 0.629 0.046
Co2 Co 0.371 0.629 0.454
Co3 Co 0.485 0.515 0.750
Co4 Co 0.515 0.485 0.250
Co5 Co 0.629 0.371 0.546
Co6 Co 0.629 0.371 0.954
Ni1 Ni 0.064 0.936 0.089
Ni2 Ni 0.064 0.936 0.411
Ni3 Ni 0.224 0.776 0.250
Ni4 Ni 0.776 0.224 0.750
Ni5 Ni 0.936 0.064 0.589
Ni6 Ni 0.936 0.064 0.911
```

**Formation energy**: 0.979 eV per formula unit


Entry 3:
# RbPbF2

A relaxed structure of RbPbF2 (PBE, Alexandria).

```
data_RbPbF2
_cell_length_a 8.342
_cell_length_b 8.342
_cell_length_c 8.342
_cell_angle_alpha 26.34
_cell_angle_beta 26.34
_cell_angle_gamma 26.34
_space_group_name_H-M_alt 'P 1'
_space_group_IT_number 1
_space_group_name_Hall 'P 1'
loop_
_atom_site_label
_atom_site_type_symbol
_atom_site_fract_x
_atom_site_fract_y
_atom_site_fract_z
Rb1 Rb 0.000 0.000 0.000
Pb1 Pb 0.500 0.500 0.500
F1 F 0.403 0.403 0.403
F2 F 0.597 0.597 0.597
```

**Distance to the lowest polymorph of the same formula**: 0.0000 eV/atom
**Formation energy without anion corrections**: -2.081 eV/atom


Entry 4:
# LaCe5Pb3

A relaxed structure of LaCe5Pb3 (PBE, Alexandria).

```
data_LaCe5Pb3
_cell_length_a 9.684
_cell_length_b 9.684
_cell_length_c 6.752
_cell_angle_alpha 90.00
_cell_angle_beta 90.00
_cell_angle_gamma 120.00
_space_group_name_H-M_alt 'P 1'
_space_group_IT_number 1
_space_group_name_Hall 'P 1'
loop_
_atom_site_label
_atom_site_type_symbol
_atom_site_fract_x
_atom_site_fract_y
_atom_site_fract_z
La1 La 0.000 0.000 0.000
La2 La 0.000 0.000 0.500
Ce1 Ce 0.000 0.338 0.250
Ce2 Ce 0.000 0.662 0.750
Ce3 Ce 0.333 0.667 0.000
Ce4 Ce 0.333 0.667 0.500
Ce5 Ce 0.338 0.000 0.250
Ce6 Ce 0.338 0.338 0.750
Ce7 Ce 0.662 0.000 0.750
Ce8 Ce 0.662 0.662 0.250
Ce9 Ce 0.667 0.333 0.000
Ce10 Ce 0.667 0.333 0.500
Pb1 Pb 0.000 0.331 0.750
Pb2 Pb 0.000 0.669 0.250
Pb3 Pb 0.331 0.000 0.750
Pb4 Pb 0.331 0.331 0.250
Pb5 Pb 0.669 0.000 0.250
Pb6 Pb 0.669 0.669 0.750
```

**Formation energy**: -3.038 eV per formula unit


Entry 5:
# VTe2I

A relaxed structure of VTe2I (PBE, Alexandria).

```
data_VTe2I
_cell_length_a 13.685
_cell_length_b 13.685
_cell_length_c 13.685
_cell_angle_alpha 13.85
_cell_angle_beta 13.85
_cell_angle_gamma 13.85
_space_group_name_H-M_alt 'P 1'
_space_group_IT_number 1
_space_group_name_Hall 'P 1'
loop_
_atom_site_label
_atom_site_type_symbol
_atom_site_fract_x
_atom_site_fract_y
_atom_site_fract_z
V1 V 0.000 0.000 0.000
Te1 Te 0.066 0.066 0.066
Te2 Te 0.934 0.934 0.934
I1 I 0.500 0.500 0.500
```

**Distance to the lowest polymorph of the same formula**: 0.6411 eV/atom
**Formation energy without anion corrections**: 0.473 eV/atom


Entry 6:
# La2Ce2Pm

A relaxed structure of La2Ce2Pm (PBE, Alexandria).

```
data_La2Ce2Pm
_cell_length_a 12.157
_cell_length_b 12.157
_cell_length_c 12.157
_cell_angle_alpha 161.87
_cell_angle_beta 161.87
_cell_angle_gamma 25.76
_space_group_name_H-M_alt 'P 1'
_space_group_IT_number 1
_space_group_name_Hall 'P 1'
loop_
_atom_site_label
_atom_site_type_symbol
_atom_site_fract_x
_atom_site_fract_y
_atom_site_fract_z
La1 La 0.107 0.107 0.000
La2 La 0.893 0.893 0.000
Ce1 Ce 0.250 0.750 0.500
Ce2 Ce 0.750 0.250 0.500
Pm1 Pm 0.500 0.500 0.000
```

**Formation energy**: 1.751 eV per formula unit


Entry 7:
# La2TbPr4Nd2

A relaxed structure of La2TbPr4Nd2 (PBE, Alexandria).

```
data_La2TbPr4Nd2
_cell_length_a 9.849
_cell_length_b 9.849
_cell_length_c 9.925
_cell_angle_alpha 115.08
_cell_angle_beta 115.08
_cell_angle_gamma 21.84
_space_group_name_H-M_alt 'P 1'
_space_group_IT_number 1
_space_group_name_Hall 'P 1'
loop_
_atom_site_label
_atom_site_type_symbol
_atom_site_fract_x
_atom_site_fract_y
_atom_site_fract_z
La1 La 0.165 0.165 0.499
La2 La 0.835 0.835 0.501
Tb1 Tb 0.500 0.500 0.500
Pr1 Pr 0.018 0.018 0.830
Pr2 Pr 0.315 0.315 0.168
Pr3 Pr 0.685 0.685 0.832
Pr4 Pr 0.982 0.982 0.170
Nd1 Nd 0.352 0.352 0.832
Nd2 Nd 0.648 0.648 0.168
```

**Formation energy**: 0.100 eV per formula unit


Entry 8:
# TaMo3Cl

A relaxed structure of TaMo3Cl (PBE, Alexandria).

```
data_TaMo3Cl
_cell_length_a 4.404
_cell_length_b 4.404
_cell_length_c 4.404
_cell_angle_alpha 90.00
_cell_angle_beta 90.00
_cell_angle_gamma 90.00
_space_group_name_H-M_alt 'P 1'
_space_group_IT_number 1
_space_group_name_Hall 'P 1'
loop_
_atom_site_label
_atom_site_type_symbol
_atom_site_fract_x
_atom_site_fract_y
_atom_site_fract_z
Ta1 Ta 0.000 0.000 0.000
Mo1 Mo 0.000 0.500 0.500
Mo2 Mo 0.500 0.000 0.500
Mo3 Mo 0.500 0.500 0.000
Cl1 Cl 0.500 0.500 0.500
```

**Distance to the lowest polymorph of the same formula**: 0.0000 eV/atom
**Formation energy without anion corrections**: 0.975 eV/atom


Entry 9:
# BaMgInGa2

A relaxed structure of BaMgInGa2 (PBE, Alexandria).

```
data_BaMgInGa2
_cell_length_a 6.779
_cell_length_b 6.779
_cell_length_c 6.779
_cell_angle_alpha 139.54
_cell_angle_beta 139.54
_cell_angle_gamma 58.56
_space_group_name_H-M_alt 'P 1'
_space_group_IT_number 1
_space_group_name_Hall 'P 1'
loop_
_atom_site_label
_atom_site_type_symbol
_atom_site_fract_x
_atom_site_fract_y
_atom_site_fract_z
Ba1 Ba 0.000 0.000 0.000
Mg1 Mg 0.750 0.250 0.500
In1 In 0.250 0.750 0.500
Ga1 Ga 0.390 0.390 0.000
Ga2 Ga 0.610 0.610 0.000
```

**Formation energy**: -2.018 eV per formula unit


Entry 10:
# Nd4Mg5Cu2

A relaxed structure of Nd4Mg5Cu2 (PBE, Alexandria).

```
data_Nd4Mg5Cu2
_cell_length_a 8.068
_cell_length_b 3.577
_cell_length_c 10.104
_cell_angle_alpha 90.00
_cell_angle_beta 93.24
_cell_angle_gamma 90.00
_space_group_name_H-M_alt 'P 1'
_space_group_IT_number 1
_space_group_name_Hall 'P 1'
loop_
_atom_site_label
_atom_site_type_symbol
_atom_site_fract_x
_atom_site_fract_y
_atom_site_fract_z
Nd1 Nd 0.158 0.000 0.360
Nd2 Nd 0.233 0.000 0.950
Nd3 Nd 0.767 0.000 0.050
Nd4 Nd 0.842 0.000 0.640
Mg1 Mg 0.193 0.500 0.661
Mg2 Mg 0.443 0.500 0.192
Mg3 Mg 0.500 0.500 0.500
Mg4 Mg 0.557 0.500 0.808
Mg5 Mg 0.807 0.500 0.339
Cu1 Cu 0.057 0.500 0.130
Cu2 Cu 0.943 0.500 0.870
```

**Formation energy**: -0.887 eV per formula unit


Entry 11:
# LaY2CuN

A relaxed structure of LaY2CuN (PBE, Alexandria).

```
data_LaY2CuN
_cell_length_a 4.742
_cell_length_b 4.742
_cell_length_c 5.110
_cell_angle_alpha 90.00
_cell_angle_beta 90.00
_cell_angle_gamma 90.00
_space_group_name_H-M_alt 'P 1'
_space_group_IT_number 1
_space_group_name_Hall 'P 1'
loop_
_atom_site_label
_atom_site_type_symbol
_atom_site_fract_x
_atom_site_fract_y
_atom_site_fract_z
La1 La 0.000 0.000 0.000
Y1 Y 0.000 0.500 0.500
Y2 Y 0.500 0.000 0.500
Cu1 Cu 0.500 0.500 0.000
N1 N 0.000 0.000 0.500
```

**Formation energy without anion corrections**: -0.578 eV/atom


Entry 12:
# RePbO4F

A relaxed structure of RePbO4F (PBE, Alexandria).

```
data_RePbO4F
_cell_length_a 6.533
_cell_length_b 6.533
_cell_length_c 7.598
_cell_angle_alpha 103.42
_cell_angle_beta 103.42
_cell_angle_gamma 75.51
_space_group_name_H-M_alt 'P 1'
_space_group_IT_number 1
_space_group_name_Hall 'P 1'
loop_
_atom_site_label
_atom_site_type_symbol
_atom_site_fract_x
_atom_site_fract_y
_atom_site_fract_z
Re1 Re 0.154 0.154 0.282
Re2 Re 0.846 0.846 0.718
Pb1 Pb 0.314 0.314 0.876
Pb2 Pb 0.686 0.686 0.124
O1 O 0.010 0.366 0.166
O2 O 0.017 0.017 0.729
O3 O 0.252 0.252 0.512
O4 O 0.366 0.010 0.166
O5 O 0.634 0.990 0.834
O6 O 0.748 0.748 0.488
O7 O 0.983 0.983 0.271
O8 O 0.990 0.634 0.834
F1 F 0.478 0.478 0.167
F2 F 0.522 0.522 0.833
```

**Formation energy without anion corrections**: -1.762 eV/atom


Number 1: calculated volume 105 Å³/cell, Fermi-level density of states 1.1517 states/eV per atom. Number 2: calculated volume 185 Å³/cell, Fermi-level density of states 0.9373 states/eV per atom. Number 3: calculated volume 101 Å³/cell, Fermi-level density of states 0.1355 states/eV per atom. Number 4: calculated volume 548 Å³/cell, Fermi-level density of states 2.8719 states/eV per atom. Number 5: calculated volume 128 Å³/cell, Fermi-level density of states 0.9031 states/eV per atom. Number 6: calculated volume 174 Å³/cell, Fermi-level density of states 2.4179 states/eV per atom. Number 7: calculated volume 323 Å³/cell, Fermi-level density of states 1.4285 states/eV per atom. Number 8: calculated volume 85 Å³/cell, Fermi-level density of states 1.1701 states/eV per atom. Number 9: calculated volume 130 Å³/cell, Fermi-level density of states 0.3899 states/eV per atom. Number 10: calculated volume 291 Å³/cell, Fermi-level density of states 0.7795 states/eV per atom. Number 11: calculated volume 115 Å³/cell, Fermi-level density of states 1.0986 states/eV per atom. Number 12: calculated volume 300 Å³/cell, Fermi-level density of states 0.0000 states/eV per atom.